Compound: NaYMnCl2
Source: Alexandria via LeMat-Bulk
Functional: PBE-GGA
Structure: optimized geometry

a b c (Å): 5.255 5.255 6.313
angles (deg): 90.00 90.00 90.00
Fractional positions:
Na  0.000  0.000  0.000
Y  0.500  0.500  0.500
Mn  0.500  0.500  0.000
Cl  0.000  0.500  0.500
Cl  0.500  0.000  0.500

Computed properties:
Crystal system: tetragonal
Energy relative to the elements, uncorrected: -512 meV/atom
DOS at the Fermi energy: 5.52 states/eV/cell
Volume: 34.87 Å³/atom



Compound: SbTe7
Source: Alexandria via LeMat-Bulk
Functional: PBE-GGA
Structure: optimized geometry

a b c (Å): 6.823 6.823 6.823
angles (deg): 60.00 60.00 60.00
Fractional positions:
Sb  0.000  0.000  0.000
Te  0.000  0.000  0.500
Te  0.000  0.500  0.000
Te  0.000  0.500  0.500
Te  0.500  0.000  0.000
Te  0.500  0.000  0.500
Te  0.500  0.500  0.000
Te  0.500  0.500  0.500

Computed properties:
Crystal system: cubic
Energy relative to the elements, uncorrected: 390 meV/atom
DOS at the Fermi energy: 7.10 states/eV/cell
Volume: 28.07 Å³/atom